Entry from the Alexandria database: an optimized crystal structure of SrCd2Cl (PBE).

Properties
DOS(E_F) ... 2.13 states/eV per cell
Offset from the most stable computed form ... 51 kJ/mol of formula units
Volume ... 30.98 Å³ per atom
Formation energy without anion corrections ... -0.680 eV/atom
Space-group type ... No. 44

```
SrCd2Cl
1.0
-5.438 -2.557 -1.248
0.187 -5.841 1.875
0.646 5.635 2.344
Sr Cd Cl
1 2 1
direct
0.279 0.779 0.500
0.998 0.998 0.000
0.753 0.253 0.500
0.471 0.471 0.000
```

Entry from the Alexandria database: an optimized crystal structure of NdSm3Te6 (PBE).

Properties
DOS(E_F) ... 0.03 states/eV per cell
Offset from the most stable computed form ... 0 kJ/mol of formula units
Volume ... 34.70 Å³ per atom
Formation energy without anion corrections ... -1.422 eV/atom
Space-group type ... No. 11

```
NdSm3Te6
1.0
-2.704 -3.039 -1.800
10.052 -6.838 -3.556
-3.742 -3.733 11.927
Te Nd Sm
12 2 6
direct
0.250 0.515 0.382
0.750 0.808 0.749
0.250 0.606 0.938
0.250 0.192 0.251
0.250 0.887 0.533
0.750 0.748 0.280
0.750 0.394 0.062
0.250 0.085 0.899
0.250 0.252 0.720
0.750 0.915 0.101
0.750 0.113 0.467
0.750 0.485 0.618
0.750 0.045 0.695
0.250 0.955 0.305
0.750 0.156 0.081
0.250 0.318 0.498
0.250 0.568 0.167
0.750 0.432 0.833
0.250 0.844 0.919
0.750 0.682 0.502
```

Entry from the Alexandria database: an optimized crystal structure of MgTlFe2Cl8 (PBE).

Properties
DOS(E_F) ... 9.06 states/eV per cell
Volume ... 27.19 Å³ per atom
Formation energy without anion corrections ... -1.057 eV/atom
Space-group type ... No. 148

```
MgTlFe2Cl8
1.0
-5.345 0.426 3.413
-2.574 -5.227 2.539
2.404 -0.325 9.724
Cl Mg Tl Fe
8 1 1 2
direct
0.271 0.943 0.160
0.943 0.626 0.160
0.177 0.177 0.468
0.057 0.374 0.840
0.374 0.729 0.840
0.626 0.271 0.160
0.729 0.057 0.840
0.823 0.823 0.532
0.000 0.000 0.000
0.500 0.500 0.500
0.257 0.257 0.230
0.743 0.743 0.770
```

Entry from the Alexandria database: an optimized crystal structure of TcBr2Cl (PBE).

Properties
DOS(E_F) ... 2.10 states/eV per cell
Offset from the most stable computed form ... 62 kJ/mol of formula units
Volume ... 32.61 Å³ per atom
Formation energy without anion corrections ... -0.174 eV/atom
Space-group type ... No. 8

```
TcBr2Cl
1.0
-0.909 1.823 6.417
1.591 -0.379 6.530
4.132 4.829 2.649
Cl Br Tc
1 2 1
direct
0.611 0.611 0.374
0.897 0.897 0.092
0.746 0.746 0.661
0.246 0.246 0.374
```

Entry from the Alexandria database: an optimized crystal structure of Y3Er2Rh2 (PBE).

Properties
DOS(E_F) ... 6.68 states/eV per cell
Volume ... 26.03 Å³ per atom
Energy of formation from the pure elements ... -55.4 kJ/mol of atoms
Space-group type ... No. 12

```
Y3Er2Rh2
1.0
-3.574 -1.236 -0.178
2.136 -1.215 5.808
-2.823 8.344 -1.241
Y Er Rh
3 2 2
direct
0.385 0.770 0.571
0.615 0.230 0.429
0.500 0.000 0.000
0.832 0.664 0.191
0.168 0.336 0.809
0.180 0.361 0.238
0.820 0.639 0.762
```

Entry from the Alexandria database: an optimized crystal structure of Zn3SnPd12 (PBE).

Properties
DOS(E_F) ... 19.04 states/eV per cell
Volume ... 15.36 Å³ per atom
Energy of formation from the pure elements ... -33.2 kJ/mol of atoms
Space-group type ... No. 123

```
Zn3SnPd12
1.0
-2.435 0.539 3.087
-1.634 -3.555 -0.668
10.515 -6.606 9.449
Zn Pd Sn
3 12 1
direct
0.000 0.000 0.255
0.000 0.000 0.745
0.000 0.000 0.500
0.000 0.500 0.378
0.500 0.500 0.745
0.000 0.500 0.131
0.500 0.500 0.500
0.500 0.000 0.622
0.500 0.500 0.000
0.000 0.500 0.622
0.500 0.500 0.255
0.500 0.000 0.131
0.500 0.000 0.869
0.000 0.500 0.869
0.500 0.000 0.378
0.000 0.000 0.000
```

Number 1: size of the total moment 0.00 μB/cell. Number 2: size of the total moment 0.00 μB/cell. Number 3: size of the total moment 9.00 μB/cell. Number 4: size of the total moment 1.98 μB/cell. Number 5: size of the total moment 0.01 μB/cell. Number 6: size of the total moment 0.00 μB/cell.